! TaInP (PBE-GGA, optimized geometry); values from VASP
&SYSTEM
  ibrav = 0, nat = 3, ntyp = 3
/
ATOMIC_SPECIES
Ta 180.95 Ta.upf
In 114.82 In.upf
P 30.97 P.upf
ATOMIC_POSITIONS angstrom
Ta 0.000 0.000 0.000
In 1.818 2.419 9.231
P 1.818 2.419 5.167
CELL_PARAMETERS angstrom
0.000 2.419 6.811
1.818 0.000 6.811
1.818 2.419 0.000
! Magnetic moment ... 0.0 μB per formula unit
! Formation enthalpy at 0 K ... 36 kJ/mol of formula units
! V ... 59.92 Å³/cell